No. 1
Compound: TlReAu2
Source: Alexandria via LeMat-Bulk
Functional: PBEsol
Structure: optimized geometry

Geometry as extended XYZ:
```
4
Lattice="-0.177 2.825 -0.032 -0.013 -0.060 -5.195 -4.734 -0.273 2.123" Properties=species:S:1:pos:R:3 pbc="T T T"
Au -2.367 -0.136 1.061
Au -0.007 -0.030 -2.598
Tl -0.089 1.412 -0.016
Re -2.462 1.246 -1.552
```

SG ... Cmmm (65)
Offset from the most stable computed form ... 0 meV/atom
Calculated formation energy ... 0.564 eV/atom


No. 2
Compound: K2Pb3C3O9F2
Source: Alexandria via LeMat-Bulk
Functional: PBEsol
Structure: optimized geometry

Geometry as extended XYZ:
```
38
Lattice="5.278 0.000 0.000 -2.639 4.571 0.000 0.000 0.000 23.119" Properties=species:S:1:pos:R:3 pbc="T T T"
C 0.000 0.000 5.780
C 0.000 0.000 17.339
C 0.000 0.000 21.645
C 0.000 0.000 10.086
C 0.000 0.000 13.034
C 0.000 0.000 1.474
O 2.639 3.274 10.091
O -1.516 3.923 21.651
O 1.516 3.923 21.651
O 2.639 3.274 1.469
O 1.123 0.648 5.780
O 0.000 1.297 17.339
O 4.155 0.649 10.091
O 1.123 0.649 10.091
O 0.000 1.297 21.651
O 4.155 0.649 1.469
O 2.639 3.274 5.780
O 1.123 0.649 1.469
O 0.000 1.297 13.028
O 1.516 3.923 13.028
O 4.155 0.648 5.780
O -1.516 3.923 17.339
O 1.516 3.923 17.339
O -1.516 3.923 13.028
Pb 2.639 1.524 12.633
Pb 0.000 3.047 5.780
Pb 0.000 3.047 1.073
Pb 2.639 1.524 17.339
Pb 0.000 3.047 10.487
Pb 2.639 1.524 22.046
K 0.000 3.047 15.082
K 2.639 1.524 8.037
K 2.639 1.524 3.523
K 0.000 3.047 19.597
F 0.000 3.047 8.189
F 0.000 3.047 3.370
F 2.639 1.524 14.930
F 2.639 1.524 19.749
```

SG ... P6_3/mmc (194)
Uncorrected formation energy ... -1.701 eV per atom


No. 3
Compound: GeRhC3
Source: Alexandria via LeMat-Bulk
Functional: PBEsol
Structure: optimized geometry

Geometry as extended XYZ:
```
5
Lattice="-2.842 -2.696 0.517 1.193 -0.543 3.728 -2.472 2.837 1.205" Properties=species:S:1:pos:R:3 pbc="T T T"
C 0.596 -0.272 1.864
C -1.236 1.419 0.602
C -1.421 -1.348 0.258
Ge -2.061 -0.201 2.724
Rh 0.000 0.000 0.000
```

SG ... Pm-3m (221)
Calculated formation energy ... 2.230 eV/atom


No. 4
Compound: CdAg2Au
Source: Alexandria via LeMat-Bulk
Functional: PBEsol
Structure: optimized geometry

Geometry as extended XYZ:
```
4
Lattice="-2.150 -1.398 -1.411 -1.327 -2.288 1.254 -7.432 4.524 3.807" Properties=species:S:1:pos:R:3 pbc="T T T"
Cd 0.000 0.000 0.000
Ag -8.160 0.608 2.724
Ag -2.750 0.230 0.926
Au -5.455 0.419 1.825
```

SG ... R-3m (166)
Calculated formation energy ... -0.038 eV/atom


No. 5
Compound: AlSi2Tc
Source: Alexandria via LeMat-Bulk
Functional: PBEsol
Structure: optimized geometry

Geometry as extended XYZ:
```
4
Lattice="-1.351 -0.709 -2.814 -0.632 -2.916 1.038 -4.739 1.686 1.852" Properties=species:S:1:pos:R:3 pbc="T T T"
Si -3.592 1.278 1.403
Si -2.498 -0.301 -2.366
Al -3.361 -0.970 0.038
Tc -0.991 -1.813 -0.888
```

SG ... Pmmm (47)
Uncorrected formation energy ... -0.168 eV per atom


No. 6
Compound: KSr2
Source: Alexandria via LeMat-Bulk
Functional: PBEsol
Structure: optimized geometry

Geometry as extended XYZ:
```
3
Lattice="4.246 0.000 0.000 -2.123 3.677 0.000 0.000 0.000 10.848" Properties=species:S:1:pos:R:3 pbc="T T T"
Sr 0.000 2.451 7.106
Sr 2.123 1.226 3.742
K 0.000 0.000 0.000
```

SG ... P-3m1 (164)
Calculated formation energy ... 0.065 eV/atom


No. 7
Compound: La2ScP
Source: Alexandria via LeMat-Bulk
Functional: PBEsol
Structure: optimized geometry

Geometry as extended XYZ:
```
4
Lattice="3.573 0.000 0.000 0.000 3.737 0.000 -1.786 -1.868 8.195" Properties=species:S:1:pos:R:3 pbc="T T T"
La 1.786 1.868 5.477
La 0.000 0.000 2.718
Sc 0.000 1.868 0.000
P 1.786 0.000 0.000
```

SG ... Immm (71)
Calculated formation energy ... -0.545 eV/atom


No. 8
Compound: Te3Se
Source: Alexandria via LeMat-Bulk
Functional: PBEsol
Structure: optimized geometry

Geometry as extended XYZ:
```
8
Lattice="-3.021 -1.578 3.065 5.816 -0.454 5.498 -4.326 6.928 -0.696" Properties=species:S:1:pos:R:3 pbc="T T T"
Te -4.894 3.196 1.963
Te 0.939 5.113 5.272
Te -0.098 1.970 2.632
Te -1.433 2.926 5.235
Te -2.470 -0.218 2.595
Te 3.363 1.700 5.904
Se 1.851 0.805 3.952
Se -3.382 4.091 3.915
```

SG ... Cmcm (63)
Uncorrected formation energy ... 0.193 eV per atom


| no. | N(E_F) (states/eV per atom) | total magnetization (μB per atom) |
| --- | --- | --- |
| 1 | 0.51 | 0.00 |
| 2 | 0.00 | 0.00 |
| 3 | 0.67 | 0.00 |
| 4 | 0.28 | 0.00 |
| 5 | 0.57 | 0.00 |
| 6 | 0.95 | 0.00 |
| 7 | 1.13 | 0.00 |
| 8 | 0.51 | 0.00 |